The following is a DFT calculation (PBEsol) of a relaxed MgIr2 crystal.

Cell lengths 4.5198, 4.7056, 4.7056 Å; angles 61.18, 90.00, 90.00 degrees
Atoms (fractional coordinates):
Mg 0.7500 0.1737 0.8263
Mg 0.2500 0.8263 0.1737
Ir 0.7500 0.4925 0.1658
Ir 0.7500 0.8342 0.5075
Ir 0.2500 0.1658 0.4925
Ir 0.2500 0.5075 0.8342

Computed properties:
energy of formation from the pure elements = -0.05 eV/atom

The following is a DFT calculation (PBEsol) of a relaxed Mg3Ir crystal.

Cell lengths 4.6239, 5.0270, 5.8231 Å; angles 90.00, 90.00, 90.00 degrees
Atoms (fractional coordinates):
Mg 0.0000 0.6346 0.5000
Mg 0.5000 0.3654 0.0000
Mg 0.0000 0.1720 0.7523
Mg 0.0000 0.1720 0.2477
Mg 0.5000 0.8280 0.7477
Mg 0.5000 0.8280 0.2523
Ir 0.0000 0.6881 0.0000
Ir 0.5000 0.3119 0.5000

Computed properties:
energy of formation from the pure elements = -0.25 eV/atom

The following is a DFT calculation (PBEsol) of a relaxed Mg3Ir crystal.

Cell lengths 2.9360, 5.2642, 5.2642 Å; angles 116.63, 100.71, 100.71 degrees
Atoms (fractional coordinates):
Mg 0.5000 0.0000 0.5000
Mg 0.0000 0.5000 0.5000
Mg 0.5000 0.5000 0.0000
Ir 0.0000 0.0000 0.0000

Computed properties:
energy of formation from the pure elements = -0.04 eV/atom

The following is a DFT calculation (PBEsol) of a relaxed Mg13Ir3 crystal.

Cell lengths 8.4005, 9.6398, 9.6398 Å; angles 68.07, 73.11, 106.89 degrees
Atoms (fractional coordinates):
Mg 0.8813 0.6313 0.7374
Mg 0.7500 0.3687 0.3687
Mg 0.6097 0.2061 0.1125
Mg 0.3903 0.7939 0.8875
Mg 0.2500 0.6313 0.6313
Mg 0.5000 0.5000 0.5000
Mg 0.7779 0.6814 0.1125
Mg 0.2500 0.0000 0.0000
Mg 0.4036 0.6814 0.2061
Mg 0.5000 0.0000 0.5000
Mg 0.8903 0.1125 0.2061
Mg 0.6187 0.7374 0.6313
Mg 0.2779 0.8875 0.3186
Mg 0.2221 0.3186 0.8875
Mg 0.3813 0.2626 0.3687
Mg 0.7221 0.1125 0.6814
Mg 0.0000 0.5000 0.5000
Mg 0.1187 0.3687 0.2626
Mg 0.5964 0.3186 0.7939
Mg 0.0964 0.2061 0.6814
Mg 0.0000 0.0000 0.5000
Mg 0.5000 0.5000 0.0000
Mg 0.1097 0.8875 0.7939
Mg 0.7500 0.0000 0.0000
Mg 0.9036 0.7939 0.3186
Mg 0.0000 0.5000 0.0000
Ir 0.2500 0.1723 0.1723
Ir 0.5777 0.8277 0.3445
Ir 0.9223 0.3445 0.8277
Ir 0.7500 0.8277 0.8277
Ir 0.0777 0.6555 0.1723
Ir 0.4223 0.1723 0.6555

Computed properties:
energy of formation from the pure elements = -0.22 eV/atom

The following is a DFT calculation (PBEsol) of a relaxed MgMnIr2 crystal.

Cell lengths 2.6641, 4.1761, 5.1803 Å; angles 90.00, 104.90, 90.00 degrees
Atoms (fractional coordinates):
Mg 0.8214 0.0000 0.6428
Ir 0.4300 0.5000 0.8600
Ir 0.0808 0.0000 0.1615
Mn 0.6746 0.5000 0.3491

Computed properties:
energy of formation from the pure elements = 0.04 eV/atom

The following is a DFT calculation (PBEsol) of a relaxed MgMnIr2 crystal.

Cell lengths 2.7362, 2.7362, 7.3350 Å; angles 90.00, 90.00, 90.00 degrees
Atoms (fractional coordinates):
Ir 0.0000 0.0000 0.2764
Ir 0.0000 0.0000 0.7236
Mg 0.5000 0.5000 0.0000
Mn 0.5000 0.5000 0.5000

Computed properties:
energy of formation from the pure elements = -0.19 eV/atom

The following is a DFT calculation (PBEsol) of a relaxed MgMnIr2 crystal.

Cell lengths 2.8811, 4.3117, 4.6093 Å; angles 90.00, 90.00, 90.00 degrees
Atoms (fractional coordinates):
Ir 0.5000 0.0000 0.5000
Ir 0.0000 0.0000 0.0000
Mg 0.5000 0.5000 0.0000
Mn 0.0000 0.5000 0.5000

Computed properties:
energy of formation from the pure elements = 0.03 eV/atom

The following is a DFT calculation (PBEsol) of a relaxed MgMnIr2 crystal.

Cell lengths 2.7117, 2.7117, 7.8083 Å; angles 90.00, 90.00, 90.00 degrees
Atoms (fractional coordinates):
Mg 0.0000 0.0000 0.4955
Ir 0.0000 0.0000 0.9947
Ir 0.5000 0.5000 0.2372
Mn 0.5000 0.5000 0.7726

Computed properties:
energy of formation from the pure elements = 0.07 eV/atom